1.
# La12Pr7Mg

A relaxed La12Pr7Mg crystal (PBE, Alexandria via LeMat-Bulk).

* V: 36.2 Å³ per atom
* energy relative to the lowest polymorph listed for this composition: 3 meV/atom
* energy relative to the elements: 144 meV/atom
* N(E_F): 35.4 states/eV per cell

a b c (Å): 8.9796 8.9796 8.9796
angles (deg): 89.11 89.11 89.11
Last column: nearest neighbours and their distance in Å.
Sites, in units of the cell vectors:
La: 0.0085 0.3599 0.8862  4 La 3.27-3.60, 1 Pr 3.38
La: 0.1138 0.9915 0.6401  4 La 3.27-3.60, 1 Pr 3.38
La: 0.2258 0.7579 0.3674  3 La 3.32-3.60, 1 Mg 3.56, 2 Pr 3.70-3.71
La: 0.2421 0.6326 0.7742  3 La 3.32-3.60, 1 Mg 3.56, 2 Pr 3.70-3.71
La: 0.3599 0.8862 0.0085  4 La 3.27-3.60, 1 Pr 3.38
La: 0.3674 0.2258 0.7579  3 La 3.32-3.60, 1 Mg 3.56, 2 Pr 3.70-3.71
La: 0.6326 0.7742 0.2421  3 La 3.32-3.60, 1 Mg 3.56, 2 Pr 3.70-3.71
La: 0.6401 0.1138 0.9915  4 La 3.27-3.60, 1 Pr 3.38
La: 0.7579 0.3674 0.2258  3 La 3.32-3.60, 1 Mg 3.56, 2 Pr 3.70-3.71
La: 0.7742 0.2421 0.6326  3 La 3.32-3.60, 1 Mg 3.56, 2 Pr 3.70-3.71
La: 0.8862 0.0085 0.3599  4 La 3.27-3.60, 1 Pr 3.38
La: 0.9915 0.6401 0.1138  4 La 3.27-3.60, 1 Pr 3.38
Pr: 0.0000 0.0000 0.0000  6 La 3.38
Pr: 0.1154 0.3553 0.4279  3 Pr 3.55-3.57, 7 La 3.70-3.94, 1 Mg 3.78
Pr: 0.3553 0.4279 0.1154  3 Pr 3.55-3.57, 7 La 3.70-3.94, 1 Mg 3.78
Pr: 0.4279 0.1154 0.3553  3 Pr 3.55-3.57, 7 La 3.70-3.94, 1 Mg 3.78
Pr: 0.5721 0.8846 0.6447  3 Pr 3.55-3.57, 7 La 3.70-3.94, 1 Mg 3.78
Pr: 0.6447 0.5721 0.8846  3 Pr 3.55-3.57, 7 La 3.70-3.94, 1 Mg 3.78
Pr: 0.8846 0.6447 0.5721  3 Pr 3.55-3.57, 7 La 3.70-3.94, 1 Mg 3.78
Mg: 0.5000 0.5000 0.5000  6 La 3.56, 6 Pr 3.78

=====

2.
# La7PrMg2

A relaxed La7PrMg2 crystal (PBE, Alexandria via LeMat-Bulk).

* V: 34.5 Å³ per atom
* energy relative to the lowest polymorph listed for this composition: 0 meV/atom
* energy relative to the elements: 111 meV/atom
* N(E_F): 16.0 states/eV per cell

a b c (Å): 8.9217 3.4687 11.9708
angles (deg): 90.00 111.39 90.00
Last column: nearest neighbours and their distance in Å.
Sites, in units of the cell vectors:
La: 0.0000 0.0000 0.0000  10 La 3.40-3.76
La: 0.1823 0.0000 0.3042  4 La 3.35-3.47, 2 Mg 3.35-3.49, 2 Pr 3.73
La: 0.2206 0.0000 0.8114  6 La 3.35-3.62, 1 Mg 3.44
La: 0.4007 0.5000 0.1245  8 La 3.47-3.81, 2 Mg 3.58
La: 0.5993 0.5000 0.8755  8 La 3.47-3.81, 2 Mg 3.58
La: 0.7794 0.0000 0.1886  6 La 3.35-3.62, 1 Mg 3.44
La: 0.8177 0.0000 0.6958  4 La 3.35-3.47, 2 Mg 3.35-3.49, 2 Pr 3.73
Pr: 0.0000 0.5000 0.5000  2 Pr 3.47, 4 La 3.73, 4 Mg 3.73
Mg: 0.3978 0.0000 0.5997  5 La 3.35-3.58, 3 Mg 3.47-3.49, 2 Pr 3.73
Mg: 0.6022 0.0000 0.4003  5 La 3.35-3.58, 3 Mg 3.47-3.49, 2 Pr 3.73

=====

3.
# La12PrMg3

A relaxed La12PrMg3 crystal (PBE, Alexandria via LeMat-Bulk).

* V: 34.3 Å³ per atom
* energy relative to the elements: -14 meV/atom
* N(E_F): 25.2 states/eV per cell

a b c (Å): 5.1586 5.1586 20.6511
angles (deg): 90.00 90.00 90.00
Last column: nearest neighbours and their distance in Å.
Sites, in units of the cell vectors:
La: 0.0000 0.0000 0.0000  8 La 3.63, 4 Mg 3.65
La: 0.0000 0.0000 0.2472  8 La 3.63-3.64, 4 Mg 3.65
La: 0.0000 0.0000 0.5000  4 Pr 3.65, 8 La 3.70
La: 0.0000 0.0000 0.7528  8 La 3.63-3.64, 4 Mg 3.65
La: 0.0000 0.5000 0.1234  4 Mg 3.61-3.63, 8 La 3.63-3.65
La: 0.0000 0.5000 0.3716  8 La 3.64-3.70, 2 Mg 3.66, 2 Pr 3.70
La: 0.0000 0.5000 0.6284  8 La 3.64-3.70, 2 Mg 3.66, 2 Pr 3.70
La: 0.0000 0.5000 0.8766  4 Mg 3.61-3.63, 8 La 3.63-3.65
La: 0.5000 0.0000 0.1234  4 Mg 3.61-3.63, 8 La 3.63-3.65
La: 0.5000 0.0000 0.3716  8 La 3.64-3.70, 2 Mg 3.66, 2 Pr 3.70
La: 0.5000 0.0000 0.6284  8 La 3.64-3.70, 2 Mg 3.66, 2 Pr 3.70
La: 0.5000 0.0000 0.8766  4 Mg 3.61-3.63, 8 La 3.63-3.65
Pr: 0.5000 0.5000 0.5000  12 La 3.65-3.70
Mg: 0.5000 0.5000 0.0000  12 La 3.63-3.65
Mg: 0.5000 0.5000 0.2460  12 La 3.61-3.66
Mg: 0.5000 0.5000 0.7540  12 La 3.61-3.66

=====

Number 1: size of the total moment 0.000 μB/atom. Number 2: size of the total moment 0.000 μB/atom. Number 3: size of the total moment 0.000 μB/atom.